Entry 1:
Compound: KRb2C
Source: the Alexandria database
Functional: PBE-GGA
Structure: relaxed

Summary:
SG: Fm-3m
E_form (eV/atom): 1.388
Crystal system: cubic

a b c (Å): 5.901 5.901 5.901
angles (deg): 60.00 60.00 60.00
Positions (direct):
C: 0.000 0.000 0.000
Rb: 0.250 0.250 0.250
K: 0.500 0.500 0.500
Rb: 0.750 0.750 0.750

---

Entry 2:
Compound: KRb2C2
Source: the Alexandria database
Functional: PBE-GGA
Structure: relaxed

Summary:
SG: I4/mmm
E_form (eV/atom): 1.916
Crystal system: tetragonal

a b c (Å): 5.771 5.771 6.962
angles (deg): 65.52 65.52 90.00
Positions (direct):
Rb: 0.668 0.668 0.665
C: 0.750 0.250 0.500
K: 0.000 0.000 0.000
Rb: 0.332 0.332 0.335
C: 0.250 0.750 0.500

---

Entry 3:
Compound: K2RbC
Source: the Alexandria database
Functional: PBE-GGA
Structure: relaxed

Summary:
SG: I-42d
E_form (eV/atom): 1.164
Crystal system: tetragonal

a b c (Å): 9.053 9.053 9.075
angles (deg): 60.08 60.08 90.00
Positions (direct):
Rb: 0.750 0.250 0.500
K: 0.875 0.626 0.750
C: 0.500 0.500 0.000
K: 0.374 0.625 0.250
K: 0.376 0.125 0.250
K: 0.375 0.624 0.750
C: 0.250 0.750 0.500
Rb: 0.000 0.000 0.000

---

Entry 4:
Compound: KRbRu2C
Source: the Alexandria database
Functional: PBE-GGA
Structure: relaxed

Summary:
SG: P4/mmm
E_form (eV/atom): 3.505
Crystal system: tetragonal

a b c (Å): 4.817 5.677 4.817
angles (deg): 90.00 90.00 90.00
Positions (direct):
K: 0.000 0.500 0.000
Ru: 0.500 0.000 0.000
Rb: 0.000 0.000 0.000
Ru: 0.000 0.000 0.500
C: 0.500 0.500 0.500

---

Entry 5:
Compound: K2RbRuC
Source: the Alexandria database
Functional: PBE-GGA
Structure: relaxed

Summary:
SG: P4/mmm
E_form (eV/atom): 0.775
Crystal system: tetragonal

a b c (Å): 6.091 3.948 6.091
angles (deg): 90.00 90.00 90.00
Positions (direct):
Rb: 0.500 0.500 0.500
K: 0.500 0.000 0.000
K: 0.000 0.000 0.500
Ru: 0.000 0.500 0.000
C: 0.000 0.000 0.000

---

Entry 6:
Compound: KRb2TaC
Source: the Alexandria database
Functional: PBE-GGA
Structure: relaxed

Summary:
SG: P4/mmm
E_form (eV/atom): 2.177
Crystal system: tetragonal

a b c (Å): 5.882 5.869 5.882
angles (deg): 90.00 90.00 90.00
Positions (direct):
Ta: 0.500 0.500 0.500
K: 0.000 0.500 0.000
Rb: 0.500 0.000 0.000
Rb: 0.000 0.000 0.500
C: 0.000 0.000 0.000

---

Entry 7:
Compound: K2RbTeC
Source: the Alexandria database
Functional: PBE-GGA
Structure: relaxed

Summary:
SG: P4/mmm
Crystal system: tetragonal
Electronic total energy (eV/atom): -2.393

a b c (Å): 6.875 4.586 6.875
angles (deg): 90.00 90.00 90.00
Positions (direct):
Te: 0.000 0.000 0.000
K: 0.000 0.000 0.500
Rb: 0.500 0.500 0.500
C: 0.000 0.500 0.000
K: 0.500 0.000 0.000

---

Entry 8:
Compound: KRbZr2C
Source: the Alexandria database
Functional: PBE-GGA
Structure: relaxed

Summary:
SG: P4/mmm
E_form (eV/atom): 2.794
Crystal system: tetragonal

a b c (Å): 5.418 5.151 5.418
angles (deg): 90.00 90.00 90.00
Positions (direct):
C: 0.000 0.500 0.000
Zr: 0.000 0.000 0.500
Rb: 0.000 0.000 0.000
K: 0.500 0.500 0.500
Zr: 0.500 0.000 0.000

---

Entry 9:
Compound: KRbZrC2
Source: the Alexandria database
Functional: PBE-GGA
Structure: relaxed

Summary:
SG: P4/mmm
E_form (eV/atom): 3.336
Crystal system: tetragonal

a b c (Å): 5.451 5.375 5.451
angles (deg): 90.00 90.00 90.00
Positions (direct):
C: 0.000 0.000 0.500
K: 0.500 0.500 0.500
Zr: 0.000 0.500 0.000
Rb: 0.000 0.000 0.000
C: 0.500 0.000 0.000

---

Entry 10:
Compound: K3ReC
Source: the Alexandria database
Functional: PBE-GGA
Structure: relaxed

Summary:
SG: Pm-3m
E_form (eV/atom): 2.056
Crystal system: cubic

a b c (Å): 5.719 5.719 5.719
angles (deg): 90.00 90.00 90.00
Positions (direct):
K: 0.000 0.000 0.500
K: 0.500 0.000 0.000
K: 0.000 0.500 0.000
C: 0.000 0.000 0.000
Re: 0.500 0.500 0.500

---

Entry 11:
Compound: KReC3
Source: the Alexandria database
Functional: PBE-GGA
Structure: relaxed

Summary:
SG: Pm-3m
E_form (eV/atom): 4.701
Crystal system: cubic

a b c (Å): 3.939 3.939 3.939
angles (deg): 90.00 90.00 90.00
Positions (direct):
C: 0.000 0.000 0.500
K: 0.000 0.000 0.000
C: 0.000 0.500 0.000
Re: 0.500 0.500 0.500
C: 0.500 0.000 0.000

---

Entry 12:
Compound: KReC3
Source: the Alexandria database
Functional: PBE-GGA
Structure: relaxed

Summary:
SG: Pm-3m
E_form (eV/atom): 1.390
Crystal system: cubic

a b c (Å): 4.114 4.114 4.114
angles (deg): 90.00 90.00 90.00
Positions (direct):
K: 0.500 0.500 0.500
C: 0.000 0.500 0.000
C: 0.000 0.000 0.500
Re: 0.000 0.000 0.000
C: 0.500 0.000 0.000

---

Entry 13:
Compound: KTi2ReC
Source: the Alexandria database
Functional: PBE-GGA
Structure: relaxed

Summary:
SG: P4/mmm
E_form (eV/atom): 3.614
Crystal system: tetragonal

a b c (Å): 4.397 4.449 4.397
angles (deg): 90.00 90.00 90.00
Positions (direct):
Re: 0.000 0.500 0.000
Ti: 0.500 0.000 0.000
C: 0.500 0.500 0.500
Ti: 0.000 0.000 0.500
K: 0.000 0.000 0.000

---

Entry 14:
Compound: KRh3C
Source: the Alexandria database
Functional: PBE-GGA
Structure: relaxed

Summary:
SG: Pm-3m
E_form (eV/atom): 3.520
Crystal system: cubic

a b c (Å): 4.723 4.723 4.723
angles (deg): 90.00 90.00 90.00
Positions (direct):
C: 0.500 0.500 0.500
Rh: 0.000 0.500 0.000
K: 0.000 0.000 0.000
Rh: 0.500 0.000 0.000
Rh: 0.000 0.000 0.500

---

Entry 15:
Compound: KRhC3
Source: the Alexandria database
Functional: PBE-GGA
Structure: relaxed

Summary:
SG: Pm-3m
E_form (eV/atom): 2.101
Crystal system: cubic

a b c (Å): 4.145 4.145 4.145
angles (deg): 90.00 90.00 90.00
Positions (direct):
C: 0.000 0.500 0.000
K: 0.500 0.500 0.500
C: 0.000 0.000 0.500
Rh: 0.000 0.000 0.000
C: 0.500 0.000 0.000

---

Entry 16:
Compound: KRh3C
Source: the Alexandria database
Functional: PBE-GGA
Structure: relaxed

Summary:
SG: Pm-3m
E_form (eV/atom): 0.466
Crystal system: cubic

a b c (Å): 4.218 4.218 4.218
angles (deg): 90.00 90.00 90.00
Positions (direct):
Rh: 0.500 0.000 0.000
K: 0.500 0.500 0.500
Rh: 0.000 0.500 0.000
C: 0.000 0.000 0.000
Rh: 0.000 0.000 0.500

---

Entry 17:
Compound: KRhC3
Source: the Alexandria database
Functional: PBE-GGA
Structure: relaxed

Summary:
SG: Pm-3m
E_form (eV/atom): 4.465
Crystal system: cubic

a b c (Å): 4.146 4.146 4.146
angles (deg): 90.00 90.00 90.00
Positions (direct):
K: 0.000 0.000 0.000
C: 0.000 0.500 0.000
C: 0.000 0.000 0.500
C: 0.500 0.000 0.000
Rh: 0.500 0.500 0.500

---

Entry 18:
Compound: K2RhC
Source: the Alexandria database
Functional: PBE-GGA
Structure: relaxed

Summary:
SG: I-42d
E_form (eV/atom): 0.449
Crystal system: tetragonal

a b c (Å): 11.807 11.807 8.566
angles (deg): 46.44 46.44 90.00
Positions (direct):
K: 0.361 0.625 0.250
K: 0.375 0.611 0.750
K: 0.389 0.125 0.250
C: 0.500 0.500 0.000
C: 0.250 0.750 0.500
Rh: 0.000 0.000 0.000
K: 0.875 0.639 0.750
Rh: 0.750 0.250 0.500

---

Entry 19:
Compound: KRh2C
Source: the Alexandria database
Functional: PBE-GGA
Structure: relaxed

Summary:
SG: I-42d
E_form (eV/atom): 0.398
Crystal system: tetragonal

a b c (Å): 6.299 6.299 6.097
angles (deg): 58.90 58.90 90.00
Positions (direct):
K: 0.750 0.250 0.500
K: 0.000 0.000 0.000
C: 0.250 0.750 0.500
Rh: 0.427 0.125 0.250
Rh: 0.875 0.677 0.750
C: 0.500 0.500 0.000
Rh: 0.323 0.625 0.250
Rh: 0.375 0.573 0.750

---

Entry 20:
Compound: KRu2C4
Source: the Alexandria database
Functional: PBE-GGA
Structure: relaxed

Summary:
SG: I4/mmm
E_form (eV/atom): 2.634
Crystal system: tetragonal

a b c (Å): 4.395 4.395 6.858
angles (deg): 71.31 71.31 90.00
Positions (direct):
C: 0.737 0.737 0.526
C: 0.500 0.000 0.000
K: 0.000 0.000 0.000
C: 0.000 0.500 0.000
C: 0.263 0.263 0.474
Ru: 0.400 0.400 0.201
Ru: 0.600 0.600 0.799

---

Entry 21:
Compound: KRuC3
Source: the Alexandria database
Functional: PBE-GGA
Structure: relaxed

Summary:
SG: Pm-3m
E_form (eV/atom): 1.780
Crystal system: cubic

a b c (Å): 4.071 4.071 4.071
angles (deg): 90.00 90.00 90.00
Positions (direct):
K: 0.500 0.500 0.500
Ru: 0.000 0.000 0.000
C: 0.500 0.000 0.000
C: 0.000 0.000 0.500
C: 0.000 0.500 0.000

---

Entry 22:
Compound: KRu3C
Source: the Alexandria database
Functional: PBE-GGA
Structure: relaxed

Summary:
SG: Pm-3m
E_form (eV/atom): 4.181
Crystal system: cubic

a b c (Å): 4.652 4.652 4.652
angles (deg): 90.00 90.00 90.00
Positions (direct):
Ru: 0.000 0.000 0.500
Ru: 0.000 0.500 0.000
Ru: 0.500 0.000 0.000
K: 0.000 0.000 0.000
C: 0.500 0.500 0.500

---

Entry 23:
Compound: KRu3C
Source: the Alexandria database
Functional: PBE-GGA
Structure: relaxed

Summary:
SG: Pm-3m
E_form (eV/atom): 0.961
Crystal system: cubic

a b c (Å): 4.211 4.211 4.211
angles (deg): 90.00 90.00 90.00
Positions (direct):
Ru: 0.500 0.000 0.000
K: 0.500 0.500 0.500
Ru: 0.000 0.000 0.500
Ru: 0.000 0.500 0.000
C: 0.000 0.000 0.000

---

Entry 24:
Compound: K3RuC
Source: the Alexandria database
Functional: PBE-GGA
Structure: relaxed

Summary:
SG: Pm-3m
E_form (eV/atom): 1.976
Crystal system: cubic

a b c (Å): 6.194 6.194 6.194
angles (deg): 90.00 90.00 90.00
Positions (direct):
K: 0.000 0.500 0.000
K: 0.500 0.000 0.000
Ru: 0.000 0.000 0.000
K: 0.000 0.000 0.500
C: 0.500 0.500 0.500

---

Entry 25:
Compound: KRuC3
Source: the Alexandria database
Functional: PBE-GGA
Structure: relaxed

Summary:
SG: Pm-3m
E_form (eV/atom): 4.594
Crystal system: cubic

a b c (Å): 4.053 4.053 4.053
angles (deg): 90.00 90.00 90.00
Positions (direct):
Ru: 0.500 0.500 0.500
C: 0.000 0.500 0.000
C: 0.000 0.000 0.500
C: 0.500 0.000 0.000
K: 0.000 0.000 0.000

---

Entry 26:
Compound: KRu2CS
Source: the Alexandria database
Functional: PBE-GGA
Structure: relaxed

Summary:
SG: P4/mmm
Crystal system: tetragonal
Electronic total energy (eV/atom): -5.840

a b c (Å): 4.030 5.295 4.030
angles (deg): 90.00 90.00 90.00
Positions (direct):
K: 0.000 0.500 0.000
S: 0.500 0.500 0.500
C: 0.000 0.000 0.000
Ru: 0.500 0.000 0.000
Ru: 0.000 0.000 0.500

---

Entry 27:
Compound: KRu2CSe
Source: the Alexandria database
Functional: PBE-GGA
Structure: relaxed

Summary:
SG: P4/mmm
Crystal system: tetragonal
Electronic total energy (eV/atom): -4.523

a b c (Å): 4.552 6.332 4.552
angles (deg): 90.00 90.00 90.00
Positions (direct):
Se: 0.000 0.000 0.000
K: 0.000 0.500 0.000
C: 0.500 0.500 0.500
Ru: 0.500 0.000 0.000
Ru: 0.000 0.000 0.500

---

Entry 28:
Compound: KCS2
Source: the Alexandria database
Functional: PBE-GGA
Structure: relaxed

Summary:
SG: R-3m
Crystal system: trigonal
Electronic total energy (eV/atom): -3.482

a b c (Å): 8.391 8.391 8.391
angles (deg): 22.18 22.18 22.18
Positions (direct):
K: 0.000 0.000 0.000
S: 0.882 0.882 0.882
C: 0.500 0.500 0.500
S: 0.118 0.118 0.118